## AgHg2SBr (PBE)

Data for a geometry-optimized AgHg2SBr structure.

Output
E_form (uncorrected) = 0.43 eV per atom
final energy = -1.42 eV per atom

Geometry as CIF:
```
data_AgHg2SBr
_cell_length_a 5.6113
_cell_length_b 5.6113
_cell_length_c 5.1798
_cell_angle_alpha 90.00
_cell_angle_beta 90.00
_cell_angle_gamma 90.00
_space_group_name_H-M_alt 'P 4/m m m'
_space_group_IT_number 123
_space_group_name_Hall '-P 4 2'
loop_
_atom_site_label
_atom_site_type_symbol
_atom_site_fract_x
_atom_site_fract_y
_atom_site_fract_z
Ag1 Ag 0.0000 0.0000 0.0000
Hg1 Hg 0.0000 0.5000 0.0000
S1 S 0.5000 0.5000 0.5000
Br1 Br 0.0000 0.0000 0.5000
```

=====

## Li3NbP (PBE)

Data for a geometry-optimized Li3NbP structure.

Output
E above lowest polymorph = 888 meV/atom
final energy = -2.84 eV per atom

Geometry as CIF:
```
data_Li3NbP
_cell_length_a 4.9137
_cell_length_b 4.9137
_cell_length_c 4.9137
_cell_angle_alpha 90.00
_cell_angle_beta 90.00
_cell_angle_gamma 90.00
_space_group_name_H-M_alt 'P m -3 m'
_space_group_IT_number 221
_space_group_name_Hall '-P 4 2 3'
loop_
_atom_site_label
_atom_site_type_symbol
_atom_site_fract_x
_atom_site_fract_y
_atom_site_fract_z
Li1 Li 0.0000 0.0000 0.5000
Nb1 Nb 0.0000 0.0000 0.0000
P1 P 0.5000 0.5000 0.5000
```

=====

## InTcPt2 (PBE)

Data for a geometry-optimized InTcPt2 structure.

Output
final energy = -6.31 eV per atom

Geometry as CIF:
```
data_InTcPt2
_cell_length_a 3.3118
_cell_length_b 3.3118
_cell_length_c 6.0751
_cell_angle_alpha 90.00
_cell_angle_beta 90.00
_cell_angle_gamma 90.00
_space_group_name_H-M_alt 'P 4 m m'
_space_group_IT_number 99
loop_
_space_group_symop_operation_xyz
'x,y,z'
'-y,x,z'
'-x,-y,z'
'y,-x,z'
'-x,y,z'
'y,x,z'
'x,-y,z'
'-y,-x,z'
loop_
_atom_site_label
_atom_site_type_symbol
_atom_site_fract_x
_atom_site_fract_y
_atom_site_fract_z
In1 In 0.0000 0.0000 0.0000
Tc1 Tc 0.5000 0.5000 0.7171
Pt1 Pt 0.0000 0.0000 0.5072
Pt2 Pt 0.5000 0.5000 0.2474
```

=====

## CaTiCdBr2 (PBE)

Data for a geometry-optimized CaTiCdBr2 structure.

Output
E_form (uncorrected) = -0.06 eV per atom
final energy = -2.89 eV per atom

Geometry as CIF:
```
data_CaTiCdBr2
_cell_length_a 5.4028
_cell_length_b 5.4028
_cell_length_c 7.0962
_cell_angle_alpha 90.00
_cell_angle_beta 90.00
_cell_angle_gamma 90.00
_space_group_name_H-M_alt 'P 4/m m m'
_space_group_IT_number 123
_space_group_name_Hall '-P 4 2'
loop_
_atom_site_label
_atom_site_type_symbol
_atom_site_fract_x
_atom_site_fract_y
_atom_site_fract_z
Ca1 Ca 0.0000 0.0000 0.0000
Ti1 Ti 0.0000 0.0000 0.5000
Cd1 Cd 0.5000 0.5000 0.5000
Br1 Br 0.0000 0.5000 0.0000
```

=====

## AlHg2SN (PBE)

Data for a geometry-optimized AlHg2SN structure.

Output
E_form (uncorrected) = 1.46 eV per atom
final energy = -1.90 eV per atom

Geometry as CIF:
```
data_AlHg2SN
_cell_length_a 5.1715
_cell_length_b 5.1715
_cell_length_c 5.0522
_cell_angle_alpha 90.00
_cell_angle_beta 90.00
_cell_angle_gamma 90.00
_space_group_name_H-M_alt 'P 4/m m m'
_space_group_IT_number 123
_space_group_name_Hall '-P 4 2'
loop_
_atom_site_label
_atom_site_type_symbol
_atom_site_fract_x
_atom_site_fract_y
_atom_site_fract_z
Al1 Al 0.0000 0.0000 0.0000
Hg1 Hg 0.0000 0.5000 0.5000
S1 S 0.0000 0.0000 0.5000
N1 N 0.5000 0.5000 0.0000
```

=====

## Rb2PCCl6 (PBE)

Data for a geometry-optimized Rb2PCCl6 structure.

Output
E_form (uncorrected) = -0.44 eV per atom
final energy = -3.20 eV per atom

Geometry as CIF:
```
data_Rb2PCCl6
_cell_length_a 7.3771
_cell_length_b 7.3771
_cell_length_c 9.0939
_cell_angle_alpha 90.00
_cell_angle_beta 90.00
_cell_angle_gamma 90.00
_space_group_name_H-M_alt 'I 4/m m m'
_space_group_IT_number 139
_space_group_name_Hall '-I 4 2'
loop_
_atom_site_label
_atom_site_type_symbol
_atom_site_fract_x
_atom_site_fract_y
_atom_site_fract_z
Rb1 Rb 0.0000 0.5000 0.2500
P1 P 0.0000 0.0000 0.0000
C1 C 0.0000 0.0000 0.5000
Cl1 Cl 0.0000 0.0000 0.2639
Cl2 Cl 0.2299 0.2299 0.0000
```

=====

## Tb6Er8Pb (PBE)

Data for a geometry-optimized Tb6Er8Pb structure.

Output
final energy = -4.35 eV per atom

Geometry as CIF:
```
data_Tb6Er8Pb
_cell_length_a 9.1695
_cell_length_b 9.1695
_cell_length_c 6.6855
_cell_angle_alpha 90.00
_cell_angle_beta 90.00
_cell_angle_gamma 120.00
_space_group_name_H-M_alt 'P -3'
_space_group_IT_number 147
loop_
_space_group_symop_operation_xyz
'x,y,z'
'-x,-y,-z'
'-y,x-y,z'
'y,-x+y,-z'
'-x+y,-x,z'
'x-y,x,-z'
loop_
_atom_site_label
_atom_site_type_symbol
_atom_site_fract_x
_atom_site_fract_y
_atom_site_fract_z
Tb1 Tb 0.0802 0.6836 0.1014
Er1 Er 0.0199 0.3349 0.3942
Er2 Er 0.3333 0.6667 0.6890
Pb1 Pb 0.0000 0.0000 0.0000
```

=====

## Li4TeO4 (PBE)

Data for a geometry-optimized Li4TeO4 structure.

Output
E_form (uncorrected) = -1.38 eV per atom
final energy = -4.78 eV per atom

Geometry as CIF:
```
data_Li4TeO4
_cell_length_a 5.3844
_cell_length_b 5.3844
_cell_length_c 8.5525
_cell_angle_alpha 90.00
_cell_angle_beta 90.00
_cell_angle_gamma 90.00
_space_group_name_H-M_alt 'I -4 2 m'
_space_group_IT_number 121
_space_group_name_Hall 'I -4 2'
loop_
_atom_site_label
_atom_site_type_symbol
_atom_site_fract_x
_atom_site_fract_y
_atom_site_fract_z
Li1 Li 0.0000 0.0000 0.1460
Li2 Li 0.0000 0.5000 0.0000
Te1 Te 0.0000 0.0000 0.5000
O1 O 0.2487 0.2487 0.0848
```